An optimized crystal structure of NpHg2Au, computed with PBE.

Cell: 4.3696 4.3696 5.0834 Å, 90.00 90.00 90.00°
With the nearest neighbours (Å) after each atom.
Positions (direct):
Np: 0.0000 0.0000 0.0000  4 Au 3.09, 8 Hg 3.35
Hg: 0.0000 0.5000 0.5000  4 Hg 3.09, 4 Au 3.35, 4 Np 3.35
Hg: 0.5000 0.0000 0.5000  4 Hg 3.09, 4 Au 3.35, 4 Np 3.35
Au: 0.5000 0.5000 0.0000  4 Np 3.09, 8 Hg 3.35

**Volume**: 97.1 Å³ per cell
**SG**: P4/mmm
**Total magnetic moment**: 4.640 Bohr magnetons per cell
**Electronic total energy**: -4.106 eV per atom
**Relative energy among the computed polymorphs**: 0 meV per atom

***

An optimized crystal structure of NpHgAu, computed with PBE.

Cell: 5.7832 5.7832 6.3417 Å, 120.99 120.99 52.54°
With the nearest neighbours (Å) after each atom.
Positions (direct):
Np: 0.1596 0.1596 0.2409  1 Np 2.95, 4 Au 3.13-3.22, 2 Hg 3.17
Np: 0.8404 0.8404 0.7591  1 Np 2.95, 4 Au 3.13-3.22, 2 Hg 3.17
Hg: 0.4733 0.4733 0.2216  3 Au 2.96-2.98, 2 Hg 3.16-3.25, 2 Np 3.17
Hg: 0.5267 0.5267 0.7784  3 Au 2.96-2.98, 2 Hg 3.16-3.25, 2 Np 3.17
Au: 0.1556 0.1556 0.7299  1 Au 2.85, 3 Hg 2.96-2.98, 3 Np 3.13-3.14
Au: 0.8444 0.8444 0.2701  1 Au 2.85, 3 Hg 2.96-2.98, 3 Np 3.13-3.14

**Volume**: 137.8 Å³ per cell
**SG**: C2/m
**Total magnetic moment**: 9.002 Bohr magnetons per cell
**Electronic total energy**: -5.439 eV per atom
**Relative energy among the computed polymorphs**: 161 meV per atom

***

An optimized crystal structure of NpHgAu, computed with PBE.

Cell: 6.9928 6.9928 6.9928 Å, 153.72 153.72 37.51°
With the nearest neighbours (Å) after each atom.
Positions (direct):
Np: 0.0000 0.0000 0.0000  4 Au 3.11, 4 Np 3.18, 4 Hg 3.30
Hg: 0.3176 0.3176 0.0000  4 Au 3.05, 4 Hg 3.18, 4 Np 3.30
Au: 0.6620 0.6620 0.0000  4 Hg 3.05, 4 Np 3.11, 4 Au 3.18

**Volume**: 66.9 Å³ per cell
**SG**: I4mm
**Total magnetic moment**: 4.691 Bohr magnetons per cell
**Electronic total energy**: -5.472 eV per atom
**Relative energy among the computed polymorphs**: 129 meV per atom